# 1
Tm2ZnBi | GGA-PBE | relaxed

As for the energy relative to the elements: -0.37 eV/atom. The total energy is -3.8992 eV/atom. The value obtained for the spin magnetization is 0.00 μB per formula unit. Its crystal system is trigonal.

The structure belongs to space group R-3m (No. 166, hexagonal axes); the cell edges are 4.7428, 4.7428 and 16.4488 Å and the angles 90.00°, 90.00° and 120.00°. The inequivalent atoms are Tm at (0.0000, 0.0000, 0.2382), Zn at (0.0000, 0.0000, 0.5000) and Bi at (0.0000, 0.0000, 0.0000).


# 2
Tm8Zn2Bi | GGA-PBE | relaxed

As for the energy relative to the elements: -0.15 eV/atom. The total energy is -3.9818 eV/atom. The value obtained for the spin magnetization is 0.00 μB per formula unit. Its crystal system is monoclinic.

The structure belongs to space group C2/m (No. 12); the cell edges are 8.733, 13.482 and 5.448 Å and the angles 90.00°, 106.78° and 90.00°. The inequivalent atoms are Tm at (0.000, 0.240, 0.000), Tm at (0.099, 0.500, 0.798), Tm at (0.210, 0.125, 0.605), Zn at (0.000, 0.306, 0.500) and Bi at (0.000, 0.000, 0.000).


# 3
Tm8ZnBi2 | GGA-PBE | relaxed

As for the energy relative to the elements: -0.24 eV/atom. The total energy is -4.3141 eV/atom. The value obtained for the spin magnetization is 0.00 μB per formula unit. Its crystal system is monoclinic.

The structure belongs to space group C2/m (No. 12); the cell edges are 18.964, 4.986 and 6.781 Å and the angles 90.00°, 102.74° and 90.00°. The inequivalent atoms are Tm at (0.012, 0.000, 0.269), Tm at (0.090, 0.500, 0.981), Tm at (0.150, 0.500, 0.528), Tm at (0.213, 0.000, 0.841), Zn at (0.000, 0.500, 0.500) and Bi at (0.180, 0.000, 0.281).


# 4
Tm2ZrBi | GGA-PBE | relaxed

As for the energy relative to the elements: -0.21 eV/atom. The total energy is -5.5551 eV/atom. The value obtained for the spin magnetization is 0.00 μB per formula unit. Its crystal system is tetragonal.

The structure belongs to space group P4/mmm (No. 123); the cell edges are 4.787, 4.787 and 4.553 Å and the angles 90.00°, 90.00° and 90.00°. The inequivalent atoms are Tm at (0.000, 0.500, 0.000), Zr at (0.000, 0.000, 0.500) and Bi at (0.500, 0.500, 0.500).


# 5
Tm3Zr2Bi3 | GGA-PBE | relaxed

As for the energy relative to the elements: -0.56 eV/atom. The total energy is -5.8280 eV/atom. The value obtained for the spin magnetization is 0.00 μB per formula unit. Its crystal system is hexagonal.

The structure belongs to space group P6_3/mcm (No. 193); the cell edges are 8.9269, 8.9269 and 6.0739 Å and the angles 90.00°, 90.00° and 120.00°. The inequivalent atoms are Tm at (0.0000, 0.2482, 0.2500), Zr at (0.3333, 0.6667, 0.0000) and Bi at (0.0000, 0.3919, 0.7500).


# 6
Tm5ZrBi6 | GGA-PBE | relaxed

As for the energy relative to the elements: -0.68 eV/atom. The total energy is -5.1946 eV/atom. The value obtained for the spin magnetization is 0.00 μB per formula unit. Its crystal system is monoclinic.

The structure belongs to space group C2/m (No. 12); the cell edges are 7.617, 13.188 and 7.612 Å and the angles 90.00°, 109.52° and 90.00°. The inequivalent atoms are Tm at (0.000, 0.000, 0.000), Tm at (0.000, 0.165, 0.500), Tm at (0.000, 0.330, 0.000), Zr at (0.000, 0.500, 0.500), Bi at (0.244, 0.500, 0.251) and Bi at (0.245, 0.336, 0.745).


# 7
Tm2ZrBi | GGA-PBE | relaxed

As for the energy relative to the elements: -0.26 eV/atom. The total energy is -5.6022 eV/atom. The value obtained for the spin magnetization is 0.02 μB per formula unit. Its crystal system is tetragonal.

The structure belongs to space group P4/mmm (No. 123); the cell edges are 3.918, 3.918 and 7.065 Å and the angles 90.00°, 90.00° and 90.00°. The inequivalent atoms are Tm at (0.000, 0.000, 0.246), Zr at (0.500, 0.500, 0.500) and Bi at (0.500, 0.500, 0.000).


# 8
TmZrBi | GGA-PBE | relaxed

As for the energy relative to the elements: -0.39 eV/atom. The total energy is -6.0285 eV/atom. The value obtained for the spin magnetization is 0.00 μB per formula unit. Its crystal system is tetragonal.

The structure belongs to space group P4/nmm (No. 129, origin choice 2); the cell edges are 3.833, 3.833 and 10.768 Å and the angles 90.00°, 90.00° and 90.00°. The inequivalent atoms are Tm at (0.250, 0.250, 0.099), Zr at (0.250, 0.250, 0.423) and Bi at (0.250, 0.250, 0.719).


# 9
TmZr3Bi2 | GGA-PBE | relaxed

As for the energy relative to the elements: -0.28 eV/atom. The total energy is -6.5965 eV/atom. The value obtained for the spin magnetization is 0.00 μB per formula unit. Its crystal system is monoclinic.

The structure belongs to space group C2/m (No. 12); the cell edges are 18.040, 4.026 and 9.280 Å and the angles 90.00°, 113.99° and 90.00°. The inequivalent atoms are Tm at (0.113, 0.000, 0.120), Zr at (0.060, 0.000, 0.657), Zr at (0.136, 0.500, 0.476), Zr at (0.188, 0.500, 0.898), Bi at (0.011, 0.500, 0.834) and Bi at (0.248, 0.000, 0.715).


# 10
TmZr2Bi | GGA-PBE | relaxed

As for the energy relative to the elements: 0.06 eV/atom. The total energy is -6.3029 eV/atom. The value obtained for the spin magnetization is 1.61 μB per formula unit. Its crystal system is cubic.

The structure belongs to space group Fm-3m (No. 225); the cell edges are 7.313, 7.313 and 7.313 Å and the angles 90.00°, 90.00° and 90.00°. The inequivalent atoms are Tm at (0.000, 0.000, 0.000), Zr at (0.250, 0.250, 0.250) and Bi at (0.000, 0.000, 0.500).


# 11
TmZrBi | GGA-PBE | relaxed

As for the energy relative to the elements: -0.06 eV/atom. The total energy is -5.6907 eV/atom. The value obtained for the spin magnetization is 1.37 μB per formula unit. Its crystal system is trigonal.

The structure belongs to space group P3m1 (No. 156); the cell edges are 5.3179, 5.3179 and 3.3122 Å and the angles 90.00°, 90.00° and 120.00°. The inequivalent atoms are Tm at (0.0000, 0.0000, 0.0000), Zr at (0.6667, 0.3333, 0.5033) and Bi at (0.3333, 0.6667, 0.4873).


# 12
TmZrBi | GGA-PBE | relaxed

As for the energy relative to the elements: -0.51 eV/atom. The total energy is -6.1421 eV/atom. The value obtained for the spin magnetization is 0.00 μB per formula unit. Its crystal system is tetragonal.

The structure belongs to space group P4/nmm (No. 129, origin choice 2); the cell edges are 4.380, 4.380 and 8.231 Å and the angles 90.00°, 90.00° and 90.00°. The inequivalent atoms are Tm at (0.250, 0.250, 0.157), Zr at (0.250, 0.750, 0.500) and Bi at (0.250, 0.250, 0.773).


Q: Among the records above, which one has the lowest energy relative to the elements?
A: Tm5ZrBi6